Entry 1:
Entry from Alexandria: an optimized crystal structure of Rb2La2TiS6 (GGA-PBE).

a = 6.9946 Å, b = 6.9946 Å, c = 8.1646 Å
α = 98.51°, β = 98.51°, γ = 118.94°
Element x y z (fractional)
La 0.6661 0.3339 0.5000
La 0.3339 0.6661 0.5000
Rb 0.8294 0.1706 0.0000
S 0.2255 0.2255 0.3176
Ti 0.0000 0.0000 0.5000
Rb 0.1706 0.8294 0.0000
S 0.6427 0.9386 0.3163
S 0.0614 0.3573 0.6837
S 0.7745 0.7745 0.6824
S 0.3573 0.0614 0.6837
S 0.9386 0.6427 0.3163

Results
Space-group type ... C2/m (12)

Entry 2:
Entry from Alexandria: an optimized crystal structure of Rb4La3TlS8 (GGA-PBE).

a = 8.5319 Å, b = 9.1647 Å, c = 8.5376 Å
α = 117.78°, β = 119.98°, γ = 90.00°
Element x y z (fractional)
S 0.7690 0.3003 0.5381
Rb 0.0000 0.0000 0.5000
La 0.5000 0.5000 0.0000
S 0.2300 0.6991 0.9691
Tl 0.0000 0.5000 0.0000
La 0.0000 0.5000 0.5000
Rb 0.0000 0.0000 0.0000
S 0.2676 0.3025 0.5351
S 0.7324 0.6975 0.4649
Rb 0.5000 0.0000 0.5000
S 0.7700 0.3009 0.0309
S 0.7391 0.6991 0.9691
La 0.5000 0.5000 0.5000
S 0.2609 0.3009 0.0309
S 0.2310 0.6997 0.4619
Rb 0.5000 0.0000 0.0000

Results
Space-group type ... C2/m (12)

Entry 3:
Entry from Alexandria: an optimized crystal structure of Rb3LaTm2S6 (GGA-PBE).

a = 7.1439 Å, b = 7.1439 Å, c = 8.0511 Å
α = 98.51°, β = 98.51°, γ = 120.00°
Element x y z (fractional)
Tm 0.6668 0.3332 0.0000
S 0.4127 0.0641 0.1921
Tm 0.3332 0.6668 0.0000
S 0.0641 0.4127 0.1921
S 0.7154 0.7154 0.1916
S 0.5873 0.9359 0.8079
La 0.0000 0.0000 0.0000
Rb 0.5000 0.5000 0.5000
Rb 0.8351 0.1649 0.5000
S 0.9359 0.5873 0.8079
Rb 0.1649 0.8351 0.5000
S 0.2846 0.2846 0.8084

Results
Space-group type ... C2/m (12)

Entry 4:
Entry from Alexandria: an optimized crystal structure of Rb4La3TmS8 (GGA-PBE).

a = 8.5008 Å, b = 9.1260 Å, c = 8.5003 Å
α = 117.77°, β = 120.00°, γ = 90.00°
Element x y z (fractional)
La 0.0000 0.5000 0.5000
S 0.2245 0.6939 0.4490
Rb 0.5000 0.0000 0.5000
S 0.2550 0.3062 0.0305
S 0.7450 0.6938 0.9695
S 0.7755 0.3061 0.5510
Rb 0.5000 0.0000 0.0000
La 0.5000 0.5000 0.0000
La 0.5000 0.5000 0.5000
Tm 0.0000 0.5000 0.0000
Rb 0.0000 0.0000 0.5000
S 0.2245 0.6938 0.9695
S 0.2668 0.3006 0.5337
S 0.7755 0.3062 0.0305
S 0.7332 0.6994 0.4663
Rb 0.0000 0.0000 0.0000

Results
Space-group type ... R-3m (166)

Entry 5:
Entry from Alexandria: an optimized crystal structure of RbLaTm4S8 (GGA-PBE).

a = 8.1491 Å, b = 8.1491 Å, c = 8.3924 Å
α = 60.95°, β = 60.95°, γ = 60.00°
Element x y z (fractional)
Tm 0.0043 0.4872 0.5043
S 0.7501 0.2334 0.2664
S 0.8042 0.2412 0.7134
La 0.0049 0.0049 0.9853
S 0.7565 0.7565 0.7304
S 0.2412 0.2412 0.7134
S 0.2412 0.8042 0.7134
Tm 0.0043 0.0043 0.5043
S 0.2334 0.7501 0.2664
S 0.2288 0.2288 0.3135
Rb 0.3683 0.3683 0.8951
Tm 0.6255 0.6255 0.1235
S 0.7501 0.7501 0.2664
Tm 0.4872 0.0043 0.5043

Results
Space-group type ... R3m (160)

Entry 6:
Entry from Alexandria: an optimized crystal structure of Rb3La2TmS6 (GGA-PBE).

a = 7.3180 Å, b = 7.3180 Å, c = 8.0698 Å
α = 98.70°, β = 98.70°, γ = 120.00°
Element x y z (fractional)
La 0.3334 0.6666 0.0000
S 0.7466 0.7466 0.1945
S 0.9351 0.6168 0.8055
Tm 0.0000 0.0000 0.0000
Rb 0.1675 0.8325 0.5000
Rb 0.5000 0.5000 0.5000
S 0.6168 0.9351 0.8055
S 0.3832 0.0649 0.1945
S 0.0649 0.3832 0.1945
S 0.2534 0.2534 0.8055
Rb 0.8325 0.1675 0.5000
La 0.6666 0.3334 0.0000

Results
Space-group type ... C2/m (12)

Entry 7:
Entry from Alexandria: an optimized crystal structure of Rb2LaUS6 (GGA-PBE).

a = 7.6034 Å, b = 7.6043 Å, c = 10.7528 Å
α = 90.00°, β = 90.02°, γ = 90.00°
Element x y z (fractional)
S 0.2339 0.2612 0.0023
Rb 0.9998 0.0004 0.7500
S 0.2611 0.2337 0.4978
S 0.5044 0.9998 0.2636
S 0.0044 0.5002 0.7636
U 0.0000 0.5000 0.0000
S 0.7661 0.7388 0.9977
S 0.7611 0.2663 0.9978
Rb 0.4998 0.4996 0.2500
S 0.2661 0.7612 0.4977
La 0.5000 0.0000 0.0000
Rb 0.0002 0.9996 0.2500
S 0.7339 0.2388 0.5023
La 0.0000 0.5000 0.5000
S 0.7389 0.7663 0.5022
S 0.4956 0.0002 0.7364
S 0.9956 0.4998 0.2364
S 0.2389 0.7337 0.0022
Rb 0.5002 0.5004 0.7500
U 0.5000 0.0000 0.5000

Results
Space-group type ... P2_1/c (14)

Entry 8:
Entry from Alexandria: an optimized crystal structure of Rb2La2US6 (GGA-PBE).

a = 7.2954 Å, b = 7.2954 Å, c = 8.1857 Å
α = 98.66°, β = 98.66°, γ = 119.55°
Element x y z (fractional)
Rb 0.1692 0.8308 0.0000
U 0.0000 0.0000 0.5000
S 0.3787 0.0595 0.6871
S 0.2477 0.2477 0.3123
S 0.0595 0.3787 0.6871
Rb 0.8308 0.1692 0.0000
S 0.9405 0.6213 0.3129
S 0.6213 0.9405 0.3129
La 0.3342 0.6658 0.5000
La 0.6658 0.3342 0.5000
S 0.7523 0.7523 0.6877

Results
Space-group type ... C2/m (12)

Entry 9:
Entry from Alexandria: an optimized crystal structure of Rb3La2US6 (GGA-PBE).

a = 7.3774 Å, b = 7.3774 Å, c = 8.0794 Å
α = 98.76°, β = 98.76°, γ = 120.01°
Element x y z (fractional)
Rb 0.8318 0.1682 0.5000
S 0.3875 0.0653 0.1961
La 0.3335 0.6665 0.0000
S 0.6125 0.9347 0.8039
S 0.2564 0.2564 0.8037
La 0.6665 0.3335 0.0000
Rb 0.5000 0.5000 0.5000
U 0.0000 0.0000 0.0000
Rb 0.1682 0.8318 0.5000
S 0.9347 0.6125 0.8039
S 0.7436 0.7436 0.1963
S 0.0653 0.3875 0.1961

Results
Space-group type ... C2/m (12)

Entry 10:
Entry from Alexandria: an optimized crystal structure of Rb4LaU3S12 (GGA-PBE).

a = 9.1465 Å, b = 9.1465 Å, c = 9.1465 Å
α = 109.47°, β = 109.47°, γ = 109.47°
Element x y z (fractional)
S 0.2500 0.7500 0.5000
La 0.0000 0.0000 0.0000
S 0.7500 0.5000 0.2500
S 0.2651 0.2651 0.0000
S 0.5000 0.2500 0.7500
S 0.2651 0.0000 0.2651
S 0.2500 0.5000 0.7500
U 0.0000 0.5000 0.5000
Rb 0.0000 0.5000 0.0000
Rb 0.0000 0.0000 0.5000
S 0.7349 0.7349 0.0000
Rb 0.5000 0.5000 0.5000
S 0.0000 0.7349 0.7349
S 0.7349 0.0000 0.7349
Rb 0.5000 0.0000 0.0000
S 0.0000 0.2651 0.2651
S 0.7500 0.2500 0.5000
U 0.5000 0.5000 0.0000
S 0.5000 0.7500 0.2500
U 0.5000 0.0000 0.5000

Results
Space-group type ... Im-3m (229)

Entry 11:
Entry from Alexandria: an optimized crystal structure of Rb3La3US8 (GGA-PBE).

a = 8.5176 Å, b = 8.5175 Å, c = 9.2043 Å
α = 117.51°, β = 89.99°, γ = 120.08°
Element x y z (fractional)
S 0.7323 0.4648 0.6970
S 0.2521 0.0330 0.3142
S 0.2190 0.9668 0.6857
S 0.7479 0.9670 0.6858
Rb 0.0000 0.0000 0.0000
La 0.5000 0.0000 0.5000
U 0.0000 0.0000 0.5000
Rb 0.5000 0.5000 0.0000
S 0.7810 0.0332 0.3143
S 0.2189 0.4380 0.6858
La 0.5000 0.5000 0.5000
Rb 0.0000 0.5000 0.0000
La 0.0000 0.5000 0.5000
S 0.2677 0.5352 0.3030
S 0.7811 0.5620 0.3142

Results
Space-group type ... C2/m (12)

Entry 12:
Entry from Alexandria: an optimized crystal structure of RbLaVS4 (GGA-PBE).

a = 6.8104 Å, b = 6.6321 Å, c = 9.1812 Å
α = 90.00°, β = 107.32°, γ = 90.00°
Element x y z (fractional)
S 0.4167 0.7500 0.1730
V 0.7806 0.2500 0.6765
S 0.9999 0.0040 0.2896
La 0.7673 0.7500 0.4503
V 0.2194 0.7500 0.3235
S 0.0001 0.9960 0.7104
Rb 0.2767 0.2500 0.0647
Rb 0.7233 0.7500 0.9353
S 0.9999 0.4960 0.2896
S 0.4048 0.7500 0.5648
S 0.0001 0.5040 0.7104
S 0.5952 0.2500 0.4352
S 0.5833 0.2500 0.8270
La 0.2327 0.2500 0.5497

Results
Space-group type ... P2_1/m (11)

Entry 13:
Entry from Alexandria: an optimized crystal structure of Rb2LaYS4 (GGA-PBE).

a = 4.2045 Å, b = 7.2832 Å, c = 8.0684 Å
α = 107.47°, β = 90.00°, γ = 90.00°
Element x y z (fractional)
La 0.5000 0.5000 0.0000
Y 0.0000 0.0000 0.0000
S 0.0000 0.7430 0.1963
S 0.5000 0.7788 0.8069
Rb 0.0000 0.5000 0.5000
Rb 0.5000 0.0000 0.5000
S 0.5000 0.2212 0.1931
S 0.0000 0.2570 0.8037

Results
Space-group type ... P2/m (10)

Entry 14:
Entry from Alexandria: an optimized crystal structure of Rb2LaZn2S4 (GGA-PBE).

a = 4.3304 Å, b = 7.9228 Å, c = 7.9965 Å
α = 109.16°, β = 105.71°, γ = 90.00°
Element x y z (fractional)
Zn 0.6761 0.9957 0.3521
Rb 0.1321 0.5595 0.2643
S 0.4741 0.2291 0.9482
Rb 0.8679 0.4405 0.7357
La 0.0000 0.0000 0.0000
Zn 0.3239 0.0043 0.6479
S 0.2037 0.1539 0.4074
S 0.7963 0.8461 0.5926
S 0.5259 0.7709 0.0518

Results
Space-group type ... C2/m (12)

Entry 15:
Entry from Alexandria: an optimized crystal structure of Rb4La3ZrS8 (GGA-PBE).

a = 8.3832 Å, b = 9.0987 Å, c = 8.3832 Å
α = 117.45°, β = 120.00°, γ = 90.00°
Element x y z (fractional)
S 0.2653 0.2961 0.5306
S 0.7812 0.3074 0.5625
Zr 0.0000 0.5000 0.0000
Rb 0.0000 0.0000 0.0000
S 0.7553 0.6926 0.9740
La 0.0000 0.5000 0.5000
S 0.2447 0.3074 0.0260
S 0.2188 0.6926 0.4375
La 0.5000 0.5000 0.0000
S 0.7347 0.7039 0.4694
S 0.2187 0.6926 0.9740
La 0.5000 0.5000 0.5000
Rb 0.5000 0.0000 0.0000
Rb 0.5000 0.0000 0.5000
S 0.7813 0.3074 0.0260
Rb 0.0000 0.0000 0.5000

Results
Space-group type ... R-3m (166)

Entry 16:
Entry from Alexandria: an optimized crystal structure of RbLaSb2 (GGA-PBE).

a = 6.3962 Å, b = 6.3962 Å, c = 11.3313 Å
α = 73.61°, β = 73.61°, γ = 90.00°
Element x y z (fractional)
La 0.7500 0.2500 0.5000
Rb 0.2500 0.7500 0.5000
Sb 0.3750 0.1964 0.7500
Sb 0.8750 0.0536 0.7500
Sb 0.9464 0.6250 0.2500
La 0.0000 0.0000 0.0000
Rb 0.5000 0.5000 0.0000
Sb 0.8036 0.1250 0.2500

Results
Space-group type ... I-42d (122)
ΔE to the lowest computed polymorph ... 85 meV/atom

Entry 17:
Entry from Alexandria: an optimized crystal structure of RbLaSb2 (GGA-PBE).

a = 5.7683 Å, b = 5.7683 Å, c = 5.7683 Å
α = 60.00°, β = 60.00°, γ = 60.00°
Element x y z (fractional)
Rb 0.0000 0.0000 0.0000
Sb 0.2500 0.2500 0.2500
La 0.5000 0.5000 0.5000
Sb 0.7500 0.7500 0.7500

Results
Space-group type ... Fm-3m (225)
ΔE to the lowest computed polymorph ... 0 meV/atom

Entry 18:
Entry from Alexandria: an optimized crystal structure of RbLa2Sb (GGA-PBE).

a = 9.6311 Å, b = 9.6311 Å, c = 7.7204 Å
α = 51.41°, β = 51.41°, γ = 90.00°
Element x y z (fractional)
Sb 0.0000 0.0000 0.0000
La 0.3750 0.3196 0.7500
La 0.0696 0.6250 0.2500
La 0.6804 0.1250 0.2500
La 0.8750 0.9304 0.7500
Rb 0.2500 0.7500 0.5000
Sb 0.7500 0.2500 0.5000
Rb 0.5000 0.5000 0.0000

Results
Space-group type ... I-42d (122)

Entry 19:
Entry from Alexandria: an optimized crystal structure of RbLaSb4 (GGA-PBE).

a = 4.5669 Å, b = 4.4697 Å, c = 11.2035 Å
α = 90.01°, β = 87.17°, γ = 90.00°
Element x y z (fractional)
Sb 0.0317 0.4973 0.7252
Rb 0.5011 0.4975 0.9981
Sb 0.5330 0.9972 0.2790
Sb 0.9710 0.4971 0.2710
Sb 0.4697 0.9975 0.7173
La 0.0014 0.9971 0.4981

Results
Space-group type ... P2/m (10)

Entry 20:
Entry from Alexandria: an optimized crystal structure of Rb2LaSbSe4 (GGA-PBE).

a = 9.0548 Å, b = 9.0548 Å, c = 9.1403 Å
α = 120.31°, β = 120.31°, γ = 89.96°
Element x y z (fractional)
Se 0.7630 0.7371 0.5363
Rb 0.0000 0.0000 0.5000
Se 0.2416 0.7024 0.4720
La 0.0000 0.5000 0.0000
Sb 0.5000 0.5000 0.5000
Se 0.2371 0.2630 0.0363
Se 0.2025 0.7416 0.9720
Se 0.7976 0.2584 0.0280
Rb 0.5000 0.5000 0.0000
Sb 0.0000 0.0000 0.0000
Rb 0.5000 0.0000 0.5000
Rb 0.5000 0.0000 0.0000
La 0.0000 0.5000 0.5000
Se 0.2370 0.2629 0.4637
Se 0.7584 0.2975 0.5280
Se 0.7629 0.7370 0.9637

Results
Space-group type ... Imma (74)

One value per record, in order, for raw formation energy: -1.67; -1.53; -1.86; -1.88; -1.90; -1.87; -1.36; -1.76; -1.69; -1.39; -1.80; -1.44; -1.87; -1.17; -1.75; -0.36; -0.44; -0.05; -0.50; -1.21 eV per atom.